{
  "formula": "Na3Eu12N5",
  "functional": "GGA-PBE",
  "state": "relaxed",
  "raw_formation_energy_mev_per_atom": -326.6,
  "total_energy_ev_per_atom": -8.77,
  "magnetic_moment_mub_per_cell": 352.59,
  "cell": [[-14.5104, 0.0599, -0.7705], [5.4885, -5.1792, -12.4178], [4.2288, -8.4313, 11.0535]],
  "species": ["Eu", "Eu", "Na", "Eu", "N", "Eu", "Eu", "Eu", "Na", "Eu", "Eu", "Eu", "Eu", "Na", "Eu", "N", "N", "Na", "N", "Eu", "N", "Eu", "N", "N", "Eu", "N", "N", "Eu", "Eu", "N", "Eu", "Eu", "Eu", "Eu", "Eu", "Eu", "N", "Eu", "Na", "Na", "Eu", "Eu", "Eu", "N", "Eu", "Eu", "Eu", "Eu", "N", "Eu", "N", "Eu", "Eu", "Eu", "N", "N", "Na", "Eu", "Eu", "Eu", "Eu", "Eu", "Eu", "N", "Eu", "Na", "Na", "Eu", "Na", "Eu", "Eu", "N", "Na", "Eu", "Eu", "N", "Na", "N", "Eu", "Eu"],
  "frac_coords": [[0.9992, 0.3967, 0.3122], [0.9992, 0.6025, 0.1870], [0.1250, 0.2500, 0.8750], [0.6878, 0.1033, 0.0008], [0.8750, 0.2500, 0.6250], [0.0845, 0.8975, 0.3967], [0.0008, 0.6033, 0.6878], [0.1025, 0.1870, 0.4992], [0.8750, 0.7500, 0.1250], [0.5008, 0.3130, 0.8975], [0.4992, 0.8122, 0.8967], [0.3975, 0.0008, 0.3130], [0.3122, 0.4155, 0.8130], [0.2500, 0.1250, 0.3750], [0.9155, 0.1025, 0.6033], [0.3750, 0.1250, 0.7500], [0.2500, 0.8750, 0.1250], [0.3750, 0.6250, 0.2500], [0.5000, 0.0000, 0.5000], [0.0845, 0.1870, 0.1878], [0.0000, 0.0000, 0.5000], [0.1878, 0.6870, 0.0845], [0.1250, 0.3750, 0.2500], [0.8750, 0.6250, 0.7500], [0.1033, 0.4155, 0.1025], [0.5000, 0.5000, 0.0000], [0.2500, 0.3750, 0.6250], [0.1025, 0.9155, 0.1033], [0.3967, 0.9992, 0.8122], [0.7500, 0.6250, 0.3750], [0.4155, 0.3122, 0.3130], [0.3975, 0.3967, 0.5845], [0.1878, 0.5008, 0.6033], [0.5845, 0.6878, 0.6870], [0.6033, 0.0008, 0.1878], [0.6870, 0.1878, 0.5845], [0.3750, 0.2500, 0.1250], [0.6025, 0.6033, 0.4155], [0.2500, 0.6250, 0.8750], [0.7500, 0.8750, 0.6250], [0.0008, 0.3975, 0.8130], [0.1870, 0.0845, 0.6878], [0.3130, 0.5008, 0.3975], [0.0000, 0.5000, 0.5000], [0.8122, 0.4992, 0.3967], [0.8130, 0.8975, 0.0008], [0.4155, 0.1033, 0.6025], [0.5845, 0.8967, 0.3975], [0.5000, 0.5000, 0.5000], [0.8975, 0.8130, 0.5008], [0.5000, 0.0000, 0.0000], [0.6033, 0.6025, 0.9155], [0.6878, 0.5845, 0.1870], [0.8130, 0.9155, 0.3122], [0.6250, 0.7500, 0.8750], [0.6250, 0.8750, 0.2500], [0.8750, 0.1250, 0.2500], [0.8122, 0.3130, 0.9155], [0.3967, 0.3975, 0.0845], [0.4992, 0.6870, 0.1025], [0.3122, 0.8967, 0.9992], [0.1033, 0.6878, 0.5008], [0.6870, 0.4992, 0.6025], [0.1250, 0.7500, 0.3750], [0.1870, 0.1025, 0.9992], [0.6250, 0.2500, 0.3750], [0.3750, 0.7500, 0.6250], [0.6025, 0.9992, 0.6870], [0.6250, 0.3750, 0.7500], [0.8967, 0.3122, 0.4992], [0.9155, 0.8130, 0.8122], [0.7500, 0.1250, 0.8750], [0.1250, 0.8750, 0.7500], [0.5008, 0.1878, 0.1033], [0.3130, 0.8122, 0.4155], [0.0000, 0.5000, 0.0000], [0.7500, 0.3750, 0.1250], [0.0000, 0.0000, 0.0000], [0.8967, 0.5845, 0.8975], [0.8975, 0.0845, 0.8967]]
}

{
  "formula": "NaEuN",
  "functional": "GGA-PBE",
  "state": "relaxed",
  "raw_formation_energy_mev_per_atom": -304.2,
  "total_energy_ev_per_atom": -6.94,
  "magnetic_moment_mub_per_cell": 6.99,
  "cell": [[4.2363, 0.0000, 0.0000], [2.1182, 3.6688, 0.0000], [2.1182, 1.2229, 3.4589]],
  "species": ["N", "Eu", "Na"],
  "frac_coords": [[0.2500, 0.2500, 0.2500], [0.0000, 0.0000, 0.0000], [0.5000, 0.5000, 0.5000]]
}

{
  "formula": "NaEu3N",
  "functional": "GGA-PBE",
  "state": "relaxed",
  "raw_formation_energy_mev_per_atom": -319.2,
  "total_energy_ev_per_atom": -8.41,
  "magnetic_moment_mub_per_cell": 22.03,
  "cell": [[5.2369, 0.0000, 0.0000], [0.0000, 5.2369, 0.0000], [0.0000, 0.0000, 5.2369]],
  "species": ["Eu", "Na", "Eu", "Eu", "N"],
  "frac_coords": [[0.0000, 0.0000, 0.5000], [0.5000, 0.5000, 0.5000], [0.0000, 0.5000, 0.0000], [0.5000, 0.0000, 0.0000], [0.0000, 0.0000, 0.0000]]
}

{
  "formula": "EuNbN2",
  "functional": "GGA-PBE",
  "state": "relaxed",
  "raw_formation_energy_mev_per_atom": -376.9,
  "total_energy_ev_per_atom": -9.63,
  "magnetic_moment_mub_per_cell": 6.65,
  "cell": [[2.8583, 0.0000, 0.0000], [0.0000, 2.8583, 0.0000], [0.0000, 0.0000, 5.9711]],
  "species": ["Nb", "Eu", "N", "N"],
  "frac_coords": [[0.5000, 0.5000, 0.0000], [0.5000, 0.5000, 0.5000], [0.0000, 0.0000, 0.2118], [0.0000, 0.0000, 0.7882]]
}

{
  "formula": "Eu2NbN",
  "functional": "GGA-PBE",
  "state": "relaxed",
  "raw_formation_energy_mev_per_atom": 94.2,
  "total_energy_ev_per_atom": -9.64,
  "magnetic_moment_mub_per_cell": 13.20,
  "cell": [[3.3152, 0.0000, 0.0000], [1.6576, 2.8711, 0.0000], [1.6576, 0.9570, 9.4058]],
  "species": ["N", "Eu", "Nb", "Eu"],
  "frac_coords": [[0.5000, 0.5000, 0.5000], [0.8853, 0.8853, 0.3442], [0.0000, 0.0000, 0.0000], [0.1147, 0.1147, 0.6558]]
}

{
  "formula": "EuNbN2",
  "functional": "GGA-PBE",
  "state": "relaxed",
  "raw_formation_energy_mev_per_atom": -1107.1,
  "total_energy_ev_per_atom": -10.36,
  "magnetic_moment_mub_per_cell": 6.52,
  "cell": [[-2.5378, 0.5417, 1.9781], [0.3555, -0.3008, 3.2296], [0.7114, 5.5420, 2.0862]],
  "species": ["N", "Eu", "N", "Nb"],
  "frac_coords": [[0.2635, 0.2635, 0.2096], [0.5000, 0.5000, 0.5000], [0.7365, 0.7365, 0.7904], [0.0000, 0.0000, 0.0000]]
}

{
  "formula": "EuNbNO2",
  "functional": "GGA-PBE",
  "state": "relaxed",
  "raw_formation_energy_mev_per_atom": -2139.9,
  "total_energy_ev_per_atom": -9.86,
  "magnetic_moment_mub_per_cell": 6.84,
  "cell": [[-2.2558, 1.9762, 2.7304], [-2.8072, 0.7167, -2.8381], [-1.8966, -3.5265, 0.9855]],
  "species": ["O", "N", "O", "Eu", "Nb"],
  "frac_coords": [[0.0000, 0.5000, 0.5000], [0.5000, 0.5000, 0.0000], [0.5000, 0.0000, 0.5000], [0.0000, 0.0000, 0.0000], [0.5000, 0.5000, 0.5000]]
}

{
  "formula": "Nd4Eu2N",
  "functional": "GGA-PBE",
  "state": "relaxed",
  "raw_formation_energy_mev_per_atom": -211.0,
  "total_energy_ev_per_atom": -7.06,
  "magnetic_moment_mub_per_cell": 15.39,
  "cell": [[5.0783, 0.0000, 0.0000], [0.0000, 5.0783, 0.0000], [2.5391, 2.5391, 9.1909]],
  "species": ["Nd", "Nd", "N", "Eu", "Nd", "Eu", "Nd"],
  "frac_coords": [[0.8695, 0.8695, 0.2609], [0.0000, 0.5000, 0.0000], [0.0000, 0.0000, 0.0000], [0.6696, 0.6696, 0.6609], [0.1305, 0.1305, 0.7391], [0.3304, 0.3304, 0.3391], [0.5000, 0.0000, 0.0000]]
}

{
  "formula": "Nd2EuN",
  "functional": "GGA-PBE",
  "state": "relaxed",
  "polymorph_energy_kj_per_mol_fu": 198,
  "raw_formation_energy_mev_per_atom": -99.8,
  "total_energy_ev_per_atom": -7.13,
  "magnetic_moment_mub_per_cell": 7.15,
  "cell": [[3.2694, 0.0000, 0.0000], [0.0000, 3.2694, 0.0000], [0.0000, 0.0000, 9.6609]],
  "species": ["N", "Eu", "Nd", "Nd"],
  "frac_coords": [[0.5000, 0.5000, 0.0000], [0.5000, 0.5000, 0.5000], [0.0000, 0.0000, 0.8475], [0.0000, 0.0000, 0.1525]]
}

{
  "formula": "NdEu2N",
  "functional": "GGA-PBE",
  "state": "relaxed",
  "raw_formation_energy_mev_per_atom": -448.8,
  "total_energy_ev_per_atom": -8.86,
  "magnetic_moment_mub_per_cell": 14.10,
  "cell": [[-0.7967, 2.2147, -2.7048], [-2.7890, -0.7119, -2.1378], [-7.2508, 5.8112, 4.5176]],
  "species": ["Nd", "Eu", "N", "Eu"],
  "frac_coords": [[0.0000, 0.0000, 0.0000], [0.1205, 0.1205, 0.6384], [0.5000, 0.5000, 0.5000], [0.8795, 0.8795, 0.3616]]
}

{
  "formula": "Nd2EuN",
  "functional": "GGA-PBE",
  "state": "relaxed",
  "polymorph_energy_kj_per_mol_fu": 0,
  "raw_formation_energy_mev_per_atom": -612.7,
  "total_energy_ev_per_atom": -7.65,
  "magnetic_moment_mub_per_cell": 7.90,
  "cell": [[-1.1474, -2.4001, -2.5368], [2.0956, -2.8899, -0.8770], [-4.0091, -6.9955, 5.7684]],
  "species": ["N", "Eu", "Nd", "Nd"],
  "frac_coords": [[0.0000, 0.0000, 0.0000], [0.5000, 0.5000, 0.5000], [0.2857, 0.2857, 0.1430], [0.7143, 0.7143, 0.8570]]
}

{
  "formula": "Eu2NiN",
  "functional": "GGA-PBE",
  "state": "relaxed",
  "raw_formation_energy_mev_per_atom": -103.2,
  "total_energy_ev_per_atom": -8.77,
  "magnetic_moment_mub_per_cell": 13.50,
  "cell": [[3.4813, 0.0000, 0.0000], [1.7406, 3.0149, 0.0000], [1.7406, 1.0050, 8.1626]],
  "species": ["N", "Ni", "Eu", "Eu"],
  "frac_coords": [[0.5000, 0.5000, 0.5000], [0.0000, 0.0000, 0.0000], [0.8911, 0.8911, 0.3266], [0.1089, 0.1089, 0.6734]]
}